Density functional theory data (PBE) for a relaxed RbSmErS3 crystal.

Geometry as extended XYZ:
```
12
Lattice="6.078 -1.429 4.897 -7.015 3.536 -1.120 -5.123 -8.981 3.738" Properties=species:S:1:pos:R:3 pbc="T T T"
S -4.304 -2.377 2.850
S -3.777 -8.039 6.139
S -1.756 -4.497 4.664
S -7.542 1.005 0.161
S -2.283 1.165 1.376
S 1.482 -7.879 7.354
Rb 1.357 -2.370 4.251
Rb -7.417 -4.504 3.264
Er -2.147 -1.041 2.640
Er -3.914 -5.833 4.874
Sm 0.000 0.000 0.000
Sm -2.562 -4.490 1.869
```

Values from the calculation:
mass density = 4.47 g/cm3
SG = Cmcm (63)
total energy = -5.427 eV/atom

***

Density functional theory data (PBE) for a relaxed NbCdSn crystal.

Geometry as extended XYZ:
```
3
Lattice="-4.134 -1.091 -2.022 -3.559 3.115 0.064 -1.323 2.161 -3.994" Properties=species:S:1:pos:R:3 pbc="T T T"
Cd -4.508 2.092 -2.976
Sn 0.000 0.000 0.000
Nb -2.254 1.046 -1.488
```

Values from the calculation:
energy above the lowest structure with this stoichiometry = 0 meV per atom
mass density = 7.19 g/cm3
SG = F-43m (216)

***

Density functional theory data (PBE) for a relaxed CsBaIr crystal.

Geometry as extended XYZ:
```
3
Lattice="0.000 3.842 3.842 3.842 0.000 3.842 3.842 3.842 0.000" Properties=species:S:1:pos:R:3 pbc="T T T"
Cs 5.763 5.763 5.763
Ba 1.921 1.921 1.921
Ir 0.000 0.000 0.000
```

Values from the calculation:
energy above the lowest structure with this stoichiometry = 0 meV per atom
mass density = 6.77 g/cm3
SG = F-43m (216)

***

Density functional theory data (PBE) for a relaxed RbLuZnO3 crystal.

Geometry as extended XYZ:
```
12
Lattice="6.384 -1.702 0.000 6.384 1.702 0.000 0.000 0.000 8.792" Properties=species:S:1:pos:R:3 pbc="T T T"
Lu 0.000 0.000 0.000
Lu 0.000 0.000 4.396
Zn 5.610 0.000 2.198
Zn 7.158 0.000 6.594
O 0.421 0.000 2.198
O 7.782 0.000 4.797
O 4.986 0.000 0.401
O 7.782 0.000 8.391
O 12.347 0.000 6.594
O 4.986 0.000 3.995
Rb 9.174 0.000 2.198
Rb 3.594 0.000 6.594
```

Values from the calculation:
mass density = 6.50 g/cm3
SG = Cmcm (63)
total energy = -5.875 eV/atom

***

Density functional theory data (PBE) for a relaxed Gd2HoErIn2 crystal.

Geometry as extended XYZ:
```
6
Lattice="5.392 0.000 0.000 -2.696 4.669 0.000 0.000 0.000 6.724" Properties=species:S:1:pos:R:3 pbc="T T T"
Gd 0.000 3.113 5.044
Gd 0.000 3.113 1.680
In 0.000 0.000 3.362
In 2.696 1.556 0.000
Er 0.000 0.000 0.000
Ho 2.696 1.556 3.362
```

Values from the calculation:
mass density = 8.60 g/cm3
SG = P-6m2 (187)
total energy = -4.340 eV/atom

***

Density functional theory data (PBE) for a relaxed LuSiBi crystal.

Geometry as extended XYZ:
```
3
Lattice="0.000 3.446 3.446 3.446 0.000 3.446 3.446 3.446 0.000" Properties=species:S:1:pos:R:3 pbc="T T T"
Lu 5.169 5.169 5.169
Si 0.000 0.000 0.000
Bi 1.723 1.723 1.723
```

Values from the calculation:
mass density = 8.36 g/cm3
SG = F-43m (216)
total energy = -4.683 eV/atom

***

Density functional theory data (PBE) for a relaxed Y3CdN2 crystal.

Geometry as extended XYZ:
```
12
Lattice="3.483 0.000 0.000 -1.741 3.016 0.000 0.000 0.000 21.532" Properties=species:S:1:pos:R:3 pbc="T T T"
N 1.741 1.005 20.067
N 0.000 2.011 1.466
N 0.000 2.011 9.300
N 1.741 1.005 12.232
Y 0.000 0.000 0.000
Y 1.741 1.005 8.027
Y 1.741 1.005 2.739
Y 0.000 0.000 10.766
Y 0.000 2.011 13.505
Y 0.000 2.011 18.793
Cd 0.000 0.000 16.149
Cd 0.000 0.000 5.383
```

Values from the calculation:
mass density = 5.98 g/cm3
SG = P6_3/mmc (194)
total energy = -7.345 eV/atom

***

Density functional theory data (PBE) for a relaxed Al2Zn2Sn crystal.

Geometry as extended XYZ:
```
5
Lattice="-2.015 2.015 5.837 2.015 -2.015 5.837 2.015 2.015 -5.837" Properties=species:S:1:pos:R:3 pbc="T T T"
Zn 0.000 0.000 7.068
Zn 0.000 0.000 4.606
Al 0.000 2.015 2.919
Al 2.015 0.000 2.919
Sn 0.000 0.000 0.000
```

Values from the calculation:
energy above the lowest structure with this stoichiometry = 0 meV per atom
mass density = 5.32 g/cm3
SG = I4/mmm (139)

***

Density functional theory data (PBE) for a relaxed HoScPO crystal.

Geometry as extended XYZ:
```
8
Lattice="3.888 0.000 0.000 0.000 5.730 0.000 0.000 0.000 6.635" Properties=species:S:1:pos:R:3 pbc="T T T"
Ho 0.000 2.468 0.668
Ho 0.000 3.261 3.986
O 0.000 4.412 5.950
O 0.000 1.317 2.632
P 1.944 1.761 5.396
P 1.944 3.968 2.079
Sc 1.944 0.721 2.942
Sc 1.944 5.009 6.259
```

Values from the calculation:
energy above the lowest structure with this stoichiometry = 0 meV per atom
mass density = 5.77 g/cm3
SG = Pmc2_1 (26)

***

Density functional theory data (PBE) for a relaxed NaAl2Pt2 crystal.

Geometry as extended XYZ:
```
5
Lattice="-3.703 -3.104 4.018 -1.746 2.047 5.679 0.410 1.783 -6.012" Properties=species:S:1:pos:R:3 pbc="T T T"
Al -3.008 -0.925 1.427
Al -2.030 1.651 2.258
Na 0.000 0.000 0.000
Pt -3.373 -0.654 6.001
Pt -2.076 -0.403 3.695
```

Values from the calculation:
energy above the lowest structure with this stoichiometry = 102 meV per atom
mass density = 8.38 g/cm3
SG = I4/mmm (139)

***

Density functional theory data (PBE) for a relaxed Tc2TeSe3 crystal.

Geometry as extended XYZ:
```
12
Lattice="-0.838 -6.634 0.991 2.094 -2.784 6.013 -5.788 -0.296 4.400" Properties=species:S:1:pos:R:3 pbc="T T T"
Tc -2.234 -8.663 7.385
Tc -2.642 -3.870 4.569
Tc -1.890 -5.844 6.835
Tc -2.298 -1.052 4.019
Se -2.710 -6.820 9.006
Se -4.104 -5.503 5.900
Se -3.786 -2.003 5.741
Se -0.428 -4.211 5.504
Se -0.746 -7.711 5.663
Se -1.822 -2.895 2.398
Te -2.429 -3.621 8.400
Te -2.102 -6.094 3.003
```

Values from the calculation:
mass density = 6.55 g/cm3
SG = P-1 (2)
total energy = -6.186 eV/atom

***

Density functional theory data (PBE) for a relaxed MgScTcMo crystal.

Geometry as extended XYZ:
```
4
Lattice="0.000 3.226 3.226 3.226 0.000 3.226 3.226 3.226 0.000" Properties=species:S:1:pos:R:3 pbc="T T T"
Mg 4.839 4.839 4.839
Mo 1.613 1.613 1.613
Tc 3.226 3.226 3.226
Sc 0.000 0.000 0.000
```

Values from the calculation:
energy above the lowest structure with this stoichiometry = 0 meV per atom
mass density = 6.51 g/cm3
SG = F-43m (216)

***

The highest mass density belongs to which entry?
Gd2HoErIn2

***

Which value of mass density does entry 10 give?
8.38 g/cm3